[1]
Density functional theory data (PBE-GGA) for AcTe2As after structural relaxation.

abc: 4.4018 4.4018 6.3346
angles: 90.00 90.00 90.00
Closest atoms and distances in Å follow each position.
Atoms (fractional coordinates):
Ac (0.5000, 0.5000, 0.5000)  2 As 3.17, 8 Te 3.51
Te (0.0000, 0.0000, 0.7575)  2 Te 3.07-3.26
Te (0.0000, 0.0000, 0.2425)  2 Te 3.07-3.26
As (0.5000, 0.5000, 0.0000)  2 Ac 3.17, 8 Te 3.47

Results
- energy relative to the elements, uncorrected (eV/atom) = -0.5679
- crystal system = tetragonal
- size of the total moment (μB per cell) = 0.0
- space-group type = P4/mmm

---

[2]
Density functional theory data (PBE-GGA) for AcTe4As after structural relaxation.

abc: 6.9027 8.7289 10.6396
angles: 90.00 90.00 130.83
Closest atoms and distances in Å follow each position.
Atoms (fractional coordinates):
Ac (0.9381, 0.6353, 0.7500)  8 Te 3.37-3.62
Ac (0.0619, 0.3647, 0.2500)  8 Te 3.37-3.62
Te (0.5241, 0.7172, 0.7500)  1 As 2.61
Te (0.4759, 0.2828, 0.2500)  1 As 2.61
Te (0.3346, 0.1456, 0.7500)  1 As 2.59
Te (0.6654, 0.8544, 0.2500)  1 As 2.59
Te (0.1032, 0.6961, 0.0609)  1 As 2.77, 1 Te 3.01
Te (0.8968, 0.3039, 0.5609)  1 As 2.77, 1 Te 3.01
Te (0.1032, 0.6961, 0.4391)  1 As 2.77, 1 Te 3.01
Te (0.8968, 0.3039, 0.9391)  1 As 2.77, 1 Te 3.01
As (0.9266, 0.1025, 0.7500)  4 Te 2.59-2.77
As (0.0734, 0.8975, 0.2500)  4 Te 2.59-2.77

Results
- energy relative to the elements, uncorrected (eV/atom) = -0.5340
- crystal system = monoclinic
- size of the total moment (μB per cell) = 0.0
- space-group type = P2_1/m

---

[3]
Density functional theory data (PBE-GGA) for AcTe2As after structural relaxation.

abc: 5.3050 5.3050 5.9075
angles: 63.32 63.32 60.00
Closest atoms and distances in Å follow each position.
Atoms (fractional coordinates):
Ac (0.5000, 0.5000, 0.5000)  8 Te 3.44-3.47
Te (0.2707, 0.2707, 0.1879)  3 As 3.21, 4 Ac 3.44-3.47
Te (0.7293, 0.7293, 0.8121)  3 As 3.21, 4 Ac 3.44-3.47
As (0.0000, 0.0000, 0.0000)  6 Te 3.21

Results
- energy relative to the elements, uncorrected (eV/atom) = -0.5664
- crystal system = trigonal
- size of the total moment (μB per cell) = 0.0
- space-group type = R-3m

---

[4]
Density functional theory data (PBE-GGA) for Ac2TeAs after structural relaxation.

abc: 3.9578 3.9578 8.0080
angles: 90.00 90.00 90.00
Closest atoms and distances in Å follow each position.
Atoms (fractional coordinates):
Ac (0.0000, 0.0000, 0.7687)  4 As 3.36, 4 Te 3.53, 1 Ac 3.70
Ac (0.0000, 0.0000, 0.2313)  4 As 3.36, 4 Te 3.53, 1 Ac 3.70
Te (0.5000, 0.5000, 0.5000)  8 Ac 3.53
As (0.5000, 0.5000, 0.0000)  8 Ac 3.36

Results
- energy relative to the elements, uncorrected (eV/atom) = -1.2869
- crystal system = tetragonal
- size of the total moment (μB per cell) = 0.0
- distance to the lowest polymorph of the same formula (meV per atom) = 259
- space-group type = P4/mmm